Material: Ba4PdO2
Method: DFT, GGA-PBE
State: optimized geometry

Computed properties:
ΔE_f (raw) in eV/atom: -1.048
Energy above the most stable polymorph in this dataset in meV/atom: 399.8

Geometry as POSCAR:
```
Ba4PdO2
1.0
5.855 0.000 0.000
0.000 5.855 0.000
0.000 0.000 14.749
Ba Pd O
8 2 4
direct
0.000 0.000 0.248 Ba
0.000 0.000 0.752 Ba
0.000 0.500 0.000 Ba
0.000 0.500 0.500 Ba
0.500 0.000 0.000 Ba
0.500 0.000 0.500 Ba
0.500 0.500 0.252 Ba
0.500 0.500 0.748 Ba
0.000 0.000 0.000 Pd
0.500 0.500 0.500 Pd
0.000 0.000 0.401 O
0.000 0.000 0.599 O
0.500 0.500 0.099 O
0.500 0.500 0.901 O
```